Entry 1:
Here is a crystal of ReSi2Ir relaxed with PBEsol from Alexandria. Energies are from meta-GGA SCAN.

Cell: 2.8518 3.9480 4.9388 Å, 90.00 90.00 90.00°
Positions (direct):
Re1 0.0000 0.0000 0.0000
Si1 0.0000 0.5000 0.5000
Si2 0.5000 0.5000 0.0000
Ir1 0.5000 0.0000 0.5000

Calculated values
As for the density: 13.0 g/cm3. The uncorrected formation energy is 0.03 eV/atom. As for the energy relative to the lowest polymorph listed for this composition: 10.29 kcal/mol of atoms. The volume comes out at 56 Å³/cell. Its uncorrected energy is -40.527 eV per atom. The spin magnetization comes out at 0.0000 μB/atom.

---

Entry 2:
Here is a crystal of Zn2PH2CO7 relaxed with PBEsol from Alexandria. Energies are from meta-GGA SCAN.

Cell: 7.8273 4.7841 15.3308 Å, 90.00 113.83 90.00°
Positions (direct):
Zn1 0.0678 0.0059 0.3697
Zn2 0.0678 0.4941 0.8697
Zn3 0.3948 0.5251 0.3061
Zn4 0.3948 0.9749 0.8061
Zn5 0.6052 0.0251 0.1939
Zn6 0.6052 0.4749 0.6939
Zn7 0.9322 0.5059 0.1303
Zn8 0.9322 0.9941 0.6303
P1 0.1951 0.5301 0.6978
P2 0.1951 0.9699 0.1978
P3 0.8049 0.0301 0.8022
P4 0.8049 0.4699 0.3022
H1 0.1367 0.7460 0.0332
H2 0.1367 0.7540 0.5332
H3 0.2905 0.5060 0.0373
H4 0.2905 0.9940 0.5373
H5 0.7095 0.0060 0.4627
H6 0.7095 0.4940 0.9627
H7 0.8633 0.2460 0.4668
H8 0.8633 0.2540 0.9668
C1 0.4328 0.1227 0.9928
C2 0.4328 0.3773 0.4928
C3 0.5672 0.6227 0.5072
C4 0.5672 0.8773 0.0072
O1 0.0445 0.6490 0.6043
O2 0.0445 0.8510 0.1043
O3 0.1621 0.6626 0.7827
O4 0.1621 0.8374 0.2827
O5 0.1896 0.2070 0.6967
O6 0.1896 0.2930 0.1967
O7 0.2057 0.6573 0.9967
O8 0.2057 0.8427 0.4967
O9 0.3365 0.1988 0.9078
O10 0.3365 0.3012 0.4078
O11 0.3906 0.6453 0.7128
O12 0.3906 0.8547 0.2128
O13 0.4297 0.2333 0.0670
O14 0.4297 0.2667 0.5671
O15 0.5703 0.7333 0.4330
O16 0.5703 0.7667 0.9330
O17 0.6094 0.1453 0.7872
O18 0.6094 0.3547 0.2872
O19 0.6635 0.6988 0.5922
O20 0.6635 0.8012 0.0922
O21 0.7943 0.1573 0.5033
O22 0.7943 0.3427 0.0033
O23 0.8104 0.7070 0.8033
O24 0.8104 0.7930 0.3033
O25 0.8379 0.1626 0.7173
O26 0.8379 0.3374 0.2173
O27 0.9555 0.1490 0.8957
O28 0.9555 0.3510 0.3957

Calculated values
As for the density: 3.6 g/cm3. The volume comes out at 525 Å³/cell. Its uncorrected energy is -9.235 eV per atom. The spin magnetization comes out at 0.0000 μB/atom.

---

Entry 3:
Here is a crystal of Cd2CuNi relaxed with PBEsol from Alexandria. Energies are from meta-GGA SCAN.

Cell: 5.0545 5.0545 4.5663 Å, 108.26 108.26 32.98°
Positions (direct):
Cd1 0.0000 0.0000 0.0000
Cd2 0.2161 0.2161 0.6503
Cu1 0.7590 0.7590 0.1843
Ni1 0.4650 0.4650 0.4780

Calculated values
As for the density: 9.6 g/cm3. As for the energy relative to the lowest polymorph listed for this composition: 0.05 kcal/mol of atoms. As for the calculated formation energy: 8.6 kJ per mole of atoms. The volume comes out at 60 Å³/cell. Its uncorrected energy is -22.961 eV per atom. The spin magnetization comes out at 0.0001 μB/atom.

---

Entry 4:
Here is a crystal of Y2HgBr relaxed with PBEsol from Alexandria. Energies are from meta-GGA SCAN.

Cell: 7.8119 7.8119 7.8119 Å, 152.87 151.37 39.85°
Positions (direct):
Y1 0.0000 0.0000 0.0000
Y2 0.7505 0.2505 0.5000
Hg1 0.4048 0.4048 0.0000
Br1 0.1585 0.6585 0.5000

Calculated values
As for the density: 7.3 g/cm3. The uncorrected formation energy is -0.84 eV/atom. As for the energy relative to the lowest polymorph listed for this composition: 3.57 kcal/mol of atoms. The volume comes out at 104 Å³/cell. Its uncorrected energy is -36.666 eV per atom. The spin magnetization comes out at 0.0003 μB/atom.

---

Summary of Fermi-level density of states in states/eV per cell
1.89 0.00 1.71 2.85
(order as listed above)